# Cd3Pd4Au2 | Alexandria | PBE-GGA | relaxed
data_Cd3Pd4Au2
_cell_length_a 14.4076
_cell_length_b 2.9801
_cell_length_c 9.5369
_cell_angle_alpha 90.00
_cell_angle_beta 130.03
_cell_angle_gamma 90.00
_symmetry_space_group_name_H-M 'C 1 2/m 1'
_symmetry_Int_Tables_number 12
loop_
_symmetry_equiv_pos_as_xyz
'x,y,z'
'-x,-y,-z'
'-x,y,-z'
'x,-y,z'
'x+1/2,y+1/2,z'
'-x+1/2,-y+1/2,-z'
'-x+1/2,y+1/2,-z'
'x+1/2,-y+1/2,z'
loop_
_atom_site_label
_atom_site_fract_x
_atom_site_fract_y
_atom_site_fract_z
Cd1 0.0000 0.0000 0.0000
Cd2 0.1382 0.5000 0.5989
Pd1 0.0328 0.0000 0.7260
Pd2 0.1645 0.5000 0.3314
Au1 0.1971 0.5000 0.0616
# - E: -3.60 eV/atom
# - D(E_F): 6.524 states/eV per cell
# - Offset from the most stable computed form: 0 meV per atom